## Ca8Cd2Ga (PBE)

Data for Ca8Cd2Ga after structural relaxation.

Summary:
The volume is 32.94 Å³/atom. Its polymorph energy (0 for the lowest one) is 57 meV/atom. Its formation energy is -0.164 eV/atom.

```
data_Ca8Cd2Ga
_chemical_formula_sum 'Ca16 Cd4 Ga2'
_space_group_name_H-M_alt 'I m m m'
_space_group_IT_number 71
_space_group_name_Hall '-I 2 2'
_cell_length_a 5.306
_cell_length_b 8.971
_cell_length_c 15.223
_cell_angle_alpha 90.00
_cell_angle_beta 90.00
_cell_angle_gamma 90.00
loop_
_atom_site_label
_atom_site_type_symbol
_atom_site_fract_x
_atom_site_fract_y
_atom_site_fract_z
_atom_site_occupancy
Ca1 Ca 0.000 0.000 0.135 1
Ca2 Ca 0.000 0.222 0.341 1
Ca3 Ca 0.000 0.314 0.000 1
Cd1 Cd 0.000 0.500 0.193 1
Ga1 Ga 0.000 0.500 0.500 1
```